(1)
## Hf3CrCd (SCAN)

Data for a PBEsol-optimized structure of Hf3CrCd.

Summary:
energy of formation = 1406.6 meV/atom
raw total energy = -45.96 eV per atom
crystal system = cubic

Cell lengths 5.086, 5.086, 5.086 Å; angles 90.00, 90.00, 90.00 degrees
Positions (direct):
Cr  0.500  0.500  0.500
Hf  0.000  0.500  0.000
Hf  0.000  0.000  0.500
Hf  0.500  0.000  0.000
Cd  0.000  0.000  0.000

=====

(2)
## Ca3P2Ir3 (SCAN)

Data for a PBEsol-optimized structure of Ca3P2Ir3.

Summary:
energy of formation = -923.1 meV/atom
raw total energy = -33.81 eV per atom
crystal system = orthorhombic

Cell lengths 5.480, 7.513, 14.436 Å; angles 90.00, 90.00, 90.00 degrees
Positions (direct):
Ca  0.121  0.480  0.390
Ca  0.621  0.020  0.610
Ca  0.879  0.520  0.890
Ca  0.379  0.980  0.110
Ca  0.879  0.520  0.610
Ca  0.379  0.980  0.390
Ca  0.121  0.480  0.110
Ca  0.621  0.020  0.890
Ca  0.574  0.324  0.250
Ca  0.074  0.176  0.750
Ca  0.426  0.676  0.750
Ca  0.926  0.824  0.250
Ir  0.040  0.177  0.250
Ir  0.540  0.323  0.750
Ir  0.960  0.823  0.750
Ir  0.460  0.677  0.250
Ir  0.613  0.346  0.461
Ir  0.113  0.154  0.539
Ir  0.387  0.654  0.961
Ir  0.887  0.846  0.039
Ir  0.387  0.654  0.539
Ir  0.887  0.846  0.461
Ir  0.613  0.346  0.039
Ir  0.113  0.154  0.961
P  0.884  0.135  0.400
P  0.384  0.365  0.600
P  0.116  0.865  0.900
P  0.616  0.635  0.100
P  0.116  0.865  0.600
P  0.616  0.635  0.400
P  0.884  0.135  0.100
P  0.384  0.365  0.900

=====

(3)
## CoH2OF (SCAN)

Data for a PBEsol-optimized structure of CoH2OF.

Summary:
raw total energy = -6.85 eV per atom
crystal system = tetragonal

Cell lengths 2.746, 2.746, 6.263 Å; angles 90.00, 90.00, 90.00 degrees
Positions (direct):
H  0.000  0.500  0.000
H  0.500  0.000  0.000
Co  0.000  0.000  0.500
O  0.500  0.500  0.500
F  0.000  0.000  0.000

=====

(4)
## Rh2W (SCAN)

Data for a PBEsol-optimized structure of Rh2W.

Summary:
energy of formation = 89.7 meV/atom
raw total energy = -45.65 eV per atom
crystal system = hexagonal

Cell lengths 2.693, 4.287, 4.287 Å; angles 120.00, 90.00, 90.00 degrees
Positions (direct):
Rh  0.000  0.333  0.667
Rh  0.000  0.667  0.333
W  0.500  0.000  0.000

=====

(5)
## Cs2ClF2 (SCAN)

Data for a PBEsol-optimized structure of Cs2ClF2.

Summary:
raw total energy = -20.11 eV per atom
E_form (uncorrected) = -1974 meV per atom
crystal system = tetragonal

Cell lengths 4.549, 4.549, 7.942 Å; angles 106.64, 106.64, 90.00 degrees
Positions (direct):
Cs  0.361  0.361  0.722
Cs  0.639  0.639  0.278
F  0.250  0.750  0.500
F  0.750  0.250  0.500
Cl  0.000  0.000  0.000

=====

(6)
## CrSbOF2 (SCAN)

Data for a PBEsol-optimized structure of CrSbOF2.

Summary:
raw total energy = -15.37 eV per atom
E_form (uncorrected) = -1582 meV per atom
crystal system = tetragonal

Cell lengths 3.902, 4.066, 4.066 Å; angles 90.00, 90.00, 90.00 degrees
Positions (direct):
Sb  0.500  0.500  0.500
F  0.000  0.000  0.500
F  0.000  0.500  0.000
O  0.500  0.000  0.000
Cr  0.000  0.000  0.000

=====

(7)
## Mg2ScSi (SCAN)

Data for a PBEsol-optimized structure of Mg2ScSi.

Summary:
raw total energy = -8.52 eV per atom
E_form (uncorrected) = 29 meV per atom
crystal system = tetragonal

Cell lengths 3.195, 3.195, 7.867 Å; angles 90.00, 90.00, 89.97 degrees
Positions (direct):
Mg  0.000  0.000  0.214
Mg  0.000  0.000  0.786
Sc  0.500  0.500  0.500
Si  0.500  0.500  0.000

=====

(8)
## Mg2MnB2Ir5 (SCAN)

Data for a PBEsol-optimized structure of Mg2MnB2Ir5.

Summary:
energy of formation = -608.5 meV/atom
raw total energy = -40.46 eV per atom
crystal system = tetragonal

Cell lengths 2.905, 9.363, 9.363 Å; angles 90.00, 90.00, 90.00 degrees
Positions (direct):
Mg  0.000  0.823  0.323
Mg  0.000  0.177  0.677
Mg  0.000  0.323  0.177
Mg  0.000  0.677  0.823
Mn  0.000  0.500  0.500
Mn  0.000  0.000  0.000
B  0.000  0.626  0.126
B  0.000  0.374  0.874
B  0.000  0.126  0.374
B  0.000  0.874  0.626
Ir  0.500  0.500  0.000
Ir  0.500  0.000  0.500
Ir  0.500  0.713  0.571
Ir  0.500  0.287  0.429
Ir  0.500  0.213  0.929
Ir  0.500  0.787  0.071
Ir  0.500  0.429  0.713
Ir  0.500  0.571  0.287
Ir  0.500  0.071  0.213
Ir  0.500  0.929  0.787

=====

(9)
## BeZnRe (SCAN)

Data for a PBEsol-optimized structure of BeZnRe.

Summary:
energy of formation = 128.0 meV/atom
raw total energy = -29.53 eV per atom
crystal system = hexagonal
E above lowest polymorph = 0.000 eV/atom

Cell lengths 2.600, 4.013, 4.013 Å; angles 120.00, 90.00, 90.00 degrees
Positions (direct):
Re  0.000  0.333  0.667
Zn  0.500  0.667  0.333
Be  0.500  0.000  0.000

=====

(10)
## NaZn2Cd2 (SCAN)

Data for a PBEsol-optimized structure of NaZn2Cd2.

Summary:
energy of formation = -21.4 meV/atom
raw total energy = -18.44 eV per atom
crystal system = tetragonal
E above lowest polymorph = 0.000 eV/atom

Cell lengths 2.800, 8.297, 8.297 Å; angles 90.00, 90.00, 90.00 degrees
Positions (direct):
Na  0.000  0.000  0.000
Na  0.000  0.500  0.500
Zn  0.500  0.155  0.655
Zn  0.500  0.655  0.845
Zn  0.500  0.845  0.345
Zn  0.500  0.345  0.155
Cd  0.000  0.359  0.859
Cd  0.000  0.859  0.641
Cd  0.000  0.641  0.141
Cd  0.000  0.141  0.359

=====

(11)
## ScMoRh2 (SCAN)

Data for a PBEsol-optimized structure of ScMoRh2.

Summary:
energy of formation = -385.5 meV/atom
raw total energy = -29.55 eV per atom
crystal system = tetragonal

Cell lengths 4.064, 4.658, 4.064 Å; angles 64.14, 90.00, 115.86 degrees
Positions (direct):
Mo  0.000  0.000  0.000
Rh  0.250  0.500  0.250
Rh  0.750  0.500  0.750
Sc  0.500  0.000  0.500

=====

(12)
## Li3InBi (SCAN)

Data for a PBEsol-optimized structure of Li3InBi.

Summary:
energy of formation = -73.5 meV/atom
raw total energy = -23.90 eV per atom
crystal system = cubic

Cell lengths 5.196, 5.196, 5.196 Å; angles 90.00, 90.00, 90.00 degrees
Positions (direct):
In  0.500  0.500  0.500
Bi  0.000  0.000  0.000
Li  0.000  0.500  0.000
Li  0.000  0.000  0.500
Li  0.500  0.000  0.000